P.
A plane-wave DFT calculation with PBE-GGA was carried out for a relaxed structure of BaCrOs2.

Lattice parameters (Å, degrees): 3.020 4.843 5.172 90.00 90.00 90.00
Site moments in Bohr magnetons follow the coordinates.
Fractional coordinates of all 4 atoms:
Ba: 0.500 0.000 0.500  0.09
Os: 0.500 0.500 0.000  -0.43
Os: 0.000 0.000 0.000  0.01
Cr: 0.000 0.500 0.500  3.34

V = 75.64 Å³/cell
Magnetization = 3.3 μB per formula unit

Q.
A plane-wave DFT calculation with PBE-GGA was carried out for a relaxed structure of BaCrOs2.

Lattice parameters (Å, degrees): 6.021 6.021 6.021 151.36 125.94 62.31
Site moments in Bohr magnetons follow the coordinates.
Fractional coordinates of all 4 atoms:
Os: 0.797 0.297 0.500  -0.53
Os: 0.995 0.995 0.000  -0.41
Cr: 0.204 0.704 0.500  3.16
Ba: 0.504 0.504 0.000  0.01

V = 83.98 Å³/cell
Magnetization = 2.5 μB per formula unit

Bottom line: Q, by a margin of 266 meV per atom.

P.
A plane-wave DFT calculation with PBE-GGA was carried out for a relaxed structure of BaCrOs2.

Lattice parameters (Å, degrees): 4.348 4.348 6.430 70.25 70.25 60.01
Site moments in Bohr magnetons follow the coordinates.
Fractional coordinates of all 4 atoms:
Ba: 0.502 0.502 0.494  0.03
Os: 0.316 0.316 0.052  -0.11
Os: 0.993 0.993 0.022  -0.16
Cr: 0.689 0.689 0.932  1.91

V = 96.91 Å³/cell
Magnetization = 1.9 μB per formula unit

Q.
A plane-wave DFT calculation with PBE-GGA was carried out for a relaxed structure of BaCrOs2.

Lattice parameters (Å, degrees): 3.767 2.911 7.529 79.58 90.00 90.00
Fractional coordinates of all 4 atoms:
Os: 0.000 0.987 0.908
Os: 0.000 0.513 0.592
Cr: 0.500 0.750 0.750
Ba: 0.500 0.250 0.250

V = 81.20 Å³/cell
Magnetization = 0.0 μB per formula unit

R.
A plane-wave DFT calculation with PBE-GGA was carried out for a relaxed structure of BaCrOs2.

Lattice parameters (Å, degrees): 2.920 3.689 7.725 90.00 90.00 90.00
Site moments in Bohr magnetons follow the coordinates.
Fractional coordinates of all 4 atoms:
Ba: 0.000 0.000 0.491  0.04
Os: 0.500 0.500 0.160  0.02
Os: 0.000 0.000 0.011  -0.23
Cr: 0.500 0.500 0.837  2.76

V = 83.21 Å³/cell
Magnetization = 3.0 μB per formula unit

S.
A plane-wave DFT calculation with PBE-GGA was carried out for a relaxed structure of BaCrOs2.

Lattice parameters (Å, degrees): 5.082 5.082 8.679 72.98 72.98 90.00
Fractional coordinates of all 8 atoms:
Os: 0.875 0.625 0.750
Os: 0.375 0.625 0.250
Os: 0.375 0.625 0.750
Os: 0.375 0.125 0.250
Cr: 0.500 0.500 0.000
Cr: 0.250 0.750 0.500
Ba: 0.750 0.250 0.500
Ba: 0.000 0.000 0.000

V = 204.05 Å³/cell
Magnetization = 0.0 μB per formula unit

Bottom line: P, by a margin of 333 meV per atom.

P.
A plane-wave DFT calculation with PBE-GGA was carried out for a relaxed structure of BaCrOs2.

Lattice parameters (Å, degrees): 4.553 4.553 6.805 77.24 77.24 39.01
Fractional coordinates of all 4 atoms:
Ba: 0.250 0.250 0.250
Os: 0.465 0.465 0.614
Os: 0.035 0.035 0.886
Cr: 0.750 0.750 0.750

V = 86.33 Å³/cell
Magnetization = 0.0 μB per formula unit

Q.
A plane-wave DFT calculation with PBE-GGA was carried out for a relaxed structure of BaCrOs2.

Lattice parameters (Å, degrees): 4.810 4.041 4.041 90.00 90.00 90.00
Site moments in Bohr magnetons follow the coordinates.
Fractional coordinates of all 4 atoms:
Os: 0.000 0.500 0.500  -0.13
Os: 0.000 0.000 0.000  -0.13
Ba: 0.500 0.500 0.000  0.14
Cr: 0.500 0.000 0.500  3.62

V = 78.56 Å³/cell
Magnetization = 3.9 μB per formula unit

R.
A plane-wave DFT calculation with PBE-GGA was carried out for a relaxed structure of BaCrOs2.

Lattice parameters (Å, degrees): 4.739 4.739 4.739 119.99 119.99 90.02
Site moments in Bohr magnetons follow the coordinates.
Fractional coordinates of all 4 atoms:
Cr: 0.750 0.250 0.500  3.04
Os: 0.000 0.000 0.000  -0.62
Os: 0.250 0.750 0.500  -0.49
Ba: 0.500 0.500 0.000  0.01

V = 75.28 Å³/cell
Magnetization = 2.1 μB per formula unit

Bottom line: P, by a margin of 649 meV per atom.

P.
A plane-wave DFT calculation with PBE-GGA was carried out for a relaxed structure of BaCrOs3.

Lattice parameters (Å, degrees): 4.957 4.957 4.957 90.00 90.00 90.00
Site moments in Bohr magnetons follow the coordinates.
Fractional coordinates of all 5 atoms:
Os: 0.000 0.000 0.500  0.89
Os: 0.500 0.000 0.000  0.95
Os: 0.000 0.500 0.000  1.03
Cr: 0.500 0.500 0.500  0.07
Ba: 0.000 0.000 0.000  -0.01

V = 121.82 Å³/cell
Magnetization = 3.0 μB per formula unit

Q.
A plane-wave DFT calculation with PBE-GGA was carried out for a relaxed structure of BaCrOs3.

Lattice parameters (Å, degrees): 4.648 4.648 4.648 90.00 90.00 90.00
Fractional coordinates of all 5 atoms:
Cr: 0.000 0.000 0.000
Os: 0.000 0.000 0.500
Os: 0.500 0.000 0.000
Os: 0.000 0.500 0.000
Ba: 0.500 0.500 0.500

V = 100.42 Å³/cell
Magnetization = 0.0 μB per formula unit

Bottom line: Q, by a margin of 2867 meV per atom.

P.
A plane-wave DFT calculation with PBE-GGA was carried out for a relaxed structure of BaCrP2.

Lattice parameters (Å, degrees): 5.308 5.308 5.308 132.23 104.61 94.34
Site moments in Bohr magnetons follow the coordinates.
Fractional coordinates of all 4 atoms:
Ba: 0.250 0.750 0.500  0.07
Cr: 0.750 0.250 0.500  3.42
P: 0.594 0.594 0.000  -0.09
P: 0.906 0.906 0.000  -0.09

V = 100.69 Å³/cell
Magnetization = 3.9 μB per formula unit

Q.
A plane-wave DFT calculation with PBE-GGA was carried out for a relaxed structure of BaCrP2.

Lattice parameters (Å, degrees): 4.053 4.053 6.634 73.97 73.97 57.14
Site moments in Bohr magnetons follow the coordinates.
Fractional coordinates of all 4 atoms:
P: 0.028 0.028 0.899  -0.11
P: 0.472 0.472 0.601  -0.11
Ba: 0.250 0.250 0.250  0.00
Cr: 0.750 0.750 0.750  2.68

V = 86.91 Å³/cell
Magnetization = 2.7 μB per formula unit

R.
A plane-wave DFT calculation with PBE-GGA was carried out for a relaxed structure of BaCrP2.

Lattice parameters (Å, degrees): 5.004 5.004 5.004 60.00 60.00 60.00
Site moments in Bohr magnetons follow the coordinates.
Fractional coordinates of all 4 atoms:
Ba: 0.500 0.500 0.500  -0.06
P: 0.250 0.250 0.250  -0.33
P: 0.750 0.750 0.750  -0.33
Cr: 0.000 0.000 0.000  3.50

V = 88.60 Å³/cell
Magnetization = 2.5 μB per formula unit

Bottom line: Q, by a margin of 112 meV per atom.

P.
A plane-wave DFT calculation with PBE-GGA was carried out for a relaxed structure of BaCrP2.

Lattice parameters (Å, degrees): 7.489 7.489 7.489 153.29 152.62 38.62
Site moments in Bohr magnetons follow the coordinates.
Fractional coordinates of all 4 atoms:
P: 0.243 0.743 0.500  -0.16
P: 0.911 0.911 0.000  -0.14
Cr: 0.798 0.298 0.500  2.46
Ba: 0.549 0.549 0.000  -0.02

V = 86.68 Å³/cell
Magnetization = 2.1 μB per formula unit

Q.
A plane-wave DFT calculation with PBE-GGA was carried out for a relaxed structure of BaCrP2.

Lattice parameters (Å, degrees): 4.882 4.882 3.972 90.09 90.09 102.99
Site moments in Bohr magnetons follow the coordinates.
Fractional coordinates of all 4 atoms:
P: 0.000 0.000 0.000  -0.15
P: 0.500 0.500 0.000  -0.15
Ba: 0.500 0.000 0.500  0.05
Cr: 0.000 0.500 0.500  3.85

V = 92.23 Å³/cell
Magnetization = 3.8 μB per formula unit

R.
A plane-wave DFT calculation with PBE-GGA was carried out for a relaxed structure of BaCrP2.

Lattice parameters (Å, degrees): 3.970 3.970 6.586 90.00 90.00 59.99
Site moments in Bohr magnetons follow the coordinates.
Fractional coordinates of all 4 atoms:
P: 0.125 0.125 0.833  -0.09
P: 0.125 0.125 0.167  -0.09
Cr: 0.792 0.792 0.000  2.99
Ba: 0.458 0.458 0.500  -0.04

V = 89.88 Å³/cell
Magnetization = 3.0 μB per formula unit

Bottom line: R, by a margin of 270 meV per atom.

P.
A plane-wave DFT calculation with PBE-GGA was carried out for a relaxed structure of BaCrPd.

Lattice parameters (Å, degrees): 5.602 5.602 9.630 90.00 90.00 120.00
Site moments in Bohr magnetons follow the coordinates.
Fractional coordinates of all 6 atoms:
Ba: 0.667 0.333 0.750  0.12
Ba: 0.333 0.667 0.250  0.12
Pd: 0.000 0.000 0.000  0.10
Pd: 0.000 0.000 0.500  0.10
Cr: 0.000 0.000 0.250  3.85
Cr: 0.000 0.000 0.750  3.85

V = 261.67 Å³/cell
Magnetization = 4.9 μB per formula unit

Q.
A plane-wave DFT calculation with PBE-GGA was carried out for a relaxed structure of BaCrPd.

Lattice parameters (Å, degrees): 3.733 3.733 11.331 90.00 90.00 90.00
Fractional coordinates of all 6 atoms:
Pd: 0.000 0.500 0.841
Pd: 0.500 0.000 0.159
Cr: 0.000 0.000 0.000
Cr: 0.500 0.500 0.000
Ba: 0.000 0.500 0.313
Ba: 0.500 0.000 0.687

V = 157.91 Å³/cell
Magnetization = 0.0 μB per formula unit

Bottom line: Q, by a margin of 491 meV per atom.

P.
A plane-wave DFT calculation with PBE-GGA was carried out for a relaxed structure of BaCrPd.

Lattice parameters (Å, degrees): 6.665 5.312 5.998 64.34 55.96 89.81
Fractional coordinates of all 6 atoms:
Pd: 0.670 0.500 0.779
Pd: 0.234 0.501 0.780
Ba: 0.314 0.850 0.056
Ba: 0.039 0.082 0.607
Cr: 0.747 0.247 0.189
Cr: 0.665 0.476 0.356

V = 150.26 Å³/cell
Magnetization = 0.0 μB per formula unit

Q.
A plane-wave DFT calculation with PBE-GGA was carried out for a relaxed structure of BaCrPd.

Lattice parameters (Å, degrees): 6.977 4.795 4.795 102.43 92.78 87.23
Fractional coordinates of all 6 atoms:
Pd: 0.912 0.286 0.341
Pd: 0.644 0.933 0.694
Ba: 0.122 0.884 0.743
Ba: 0.435 0.335 0.292
Cr: 0.778 0.760 0.168
Cr: 0.778 0.459 0.867

V = 156.37 Å³/cell
Magnetization = 0.0 μB per formula unit

Bottom line: Q, by a margin of 44 meV per atom.

P.
A plane-wave DFT calculation with PBE-GGA was carried out for a relaxed structure of BaCrPd.

Lattice parameters (Å, degrees): 6.644 4.626 5.679 65.95 94.59 90.06
Fractional coordinates of all 6 atoms:
Cr: 0.842 0.683 0.485
Cr: 0.714 0.536 0.776
Ba: 0.104 0.979 0.892
Ba: 0.452 0.240 0.369
Pd: 0.653 0.921 0.007
Pd: 0.904 0.298 0.253

V = 158.80 Å³/cell
Magnetization = 0.0 μB per formula unit

Q.
A plane-wave DFT calculation with PBE-GGA was carried out for a relaxed structure of BaCrPd.

Lattice parameters (Å, degrees): 6.114 6.691 4.653 69.67 89.96 106.62
Site moments in Bohr magnetons follow the coordinates.
Fractional coordinates of all 6 atoms:
Ba: 0.076 0.843 0.792  0.04
Ba: 0.480 0.376 0.025  0.04
Pd: 0.642 0.032 0.697  0.07
Pd: 0.915 0.187 0.120  0.07
Cr: 0.531 0.823 0.301  3.81
Cr: 0.026 0.396 0.515  3.81

V = 169.95 Å³/cell
Magnetization = 4.6 μB per formula unit

R.
A plane-wave DFT calculation with PBE-GGA was carried out for a relaxed structure of BaCrPd.

Lattice parameters (Å, degrees): 11.842 4.160 6.333 90.00 90.00 90.00
Fractional coordinates of all 12 atoms:
Ba: 0.711 0.250 0.093
Ba: 0.211 0.250 0.407
Ba: 0.789 0.750 0.593
Ba: 0.289 0.750 0.907
Pd: 0.955 0.250 0.371
Pd: 0.455 0.250 0.129
Pd: 0.045 0.750 0.629
Pd: 0.545 0.750 0.871
Cr: 0.500 0.000 0.500
Cr: 0.000 0.000 0.000
Cr: 0.500 0.500 0.500
Cr: 0.000 0.500 0.000

V = 311.97 Å³/cell
Magnetization = 0.0 μB per formula unit

Bottom line: Q, by a margin of 26 meV per atom.

P.
A plane-wave DFT calculation with PBE-GGA was carried out for a relaxed structure of BaCrPd.

Lattice parameters (Å, degrees): 5.051 5.051 5.051 60.00 60.00 60.00
Site moments in Bohr magnetons follow the coordinates.
Fractional coordinates of all 3 atoms:
Ba: 0.750 0.750 0.750  0.04
Cr: 0.250 0.250 0.250  4.01
Pd: 0.500 0.500 0.500  0.07

V = 91.11 Å³/cell
Magnetization = 4.8 μB per formula unit

Q.
A plane-wave DFT calculation with PBE-GGA was carried out for a relaxed structure of BaCrPd.

Lattice parameters (Å, degrees): 8.369 3.388 10.483 90.00 90.00 90.00
Fractional coordinates of all 12 atoms:
Ba: 0.415 0.250 0.680
Ba: 0.085 0.750 0.180
Ba: 0.585 0.750 0.320
Ba: 0.915 0.250 0.820
Cr: 0.572 0.750 0.971
Cr: 0.428 0.250 0.029
Cr: 0.928 0.250 0.471
Cr: 0.072 0.750 0.529
Pd: 0.250 0.750 0.903
Pd: 0.750 0.750 0.597
Pd: 0.250 0.250 0.403
Pd: 0.750 0.250 0.097

V = 297.20 Å³/cell
Magnetization = 0.0 μB per formula unit

Bottom line: Q, by a margin of 87 meV per atom.

P.
A plane-wave DFT calculation with PBE-GGA was carried out for a relaxed structure of BaCr2Pd.

Lattice parameters (Å, degrees): 4.627 4.627 4.627 60.00 60.00 60.00
Fractional coordinates of all 4 atoms:
Cr: 0.750 0.750 0.750
Cr: 0.250 0.250 0.250
Pd: 0.000 0.000 0.000
Ba: 0.500 0.500 0.500

V = 70.04 Å³/cell
Magnetization = 0.0 μB per formula unit

Q.
A plane-wave DFT calculation with PBE-GGA was carried out for a relaxed structure of BaCr2Pd.

Lattice parameters (Å, degrees): 5.266 5.266 9.661 74.18 74.18 90.00
Site moments in Bohr magnetons follow the coordinates.
Fractional coordinates of all 8 atoms:
Ba: 0.000 0.000 0.000  0.06
Ba: 0.750 0.250 0.500  0.06
Pd: 0.250 0.750 0.500  0.12
Pd: 0.500 0.500 0.000  0.12
Cr: 0.375 0.625 0.750  3.76
Cr: 0.375 0.625 0.250  3.73
Cr: 0.375 0.125 0.250  3.73
Cr: 0.875 0.625 0.750  3.76

V = 247.23 Å³/cell
Magnetization = 9.0 μB per formula unit

Bottom line: Q, by a margin of 578 meV per atom.